# 1
The following is a DFT calculation (PBE) of a relaxed Ba6AsP2N crystal.

```
Ba6AsP2N
1.0
7.727 0.000 -0.118
0.000 8.275 0.000
-0.102 0.000 11.263
Ba As N P
12 2 2 4
Direct
0.638 0.066 0.268
0.332 0.702 0.428
0.210 0.171 0.431
0.168 0.202 0.072
0.710 0.329 0.931
0.862 0.566 0.232
0.668 0.298 0.572
0.832 0.798 0.928
0.138 0.434 0.768
0.290 0.671 0.069
0.362 0.934 0.732
0.790 0.829 0.569
0.500 0.000 0.000
0.000 0.500 0.500
0.500 0.000 0.500
0.000 0.500 0.000
0.030 0.921 0.246
0.530 0.579 0.746
0.970 0.079 0.754
0.470 0.421 0.254
```

Electronic total energy: -4.36 eV per atom
Space-group type: P2_1/c (14)
E_form (uncorrected): -0.823 eV per atom



# 2
The following is a DFT calculation (PBE) of a relaxed BaAsPtN2 crystal.

```
BaAsPtN2
1.0
4.420 0.000 0.000
0.000 6.382 0.000
0.000 0.000 4.420
Pt Ba N As
1 1 2 1
Direct
0.000 0.500 0.000
0.000 0.000 0.000
0.000 0.000 0.500
0.500 0.000 0.000
0.500 0.500 0.500
```

Electronic total energy: -3.72 eV per atom
Space-group type: P4/mmm (123)
E_form (uncorrected): 2.134 eV per atom



# 3
The following is a DFT calculation (PBE) of a relaxed BaAs2PtN crystal.

```
BaAs2PtN
1.0
4.422 0.000 0.000
0.000 5.318 0.000
0.000 0.000 4.422
As Ba N Pt
2 1 1 1
Direct
0.000 0.000 0.500
0.500 0.000 0.000
0.000 0.500 0.000
0.000 0.000 0.000
0.500 0.500 0.500
```

Electronic total energy: -4.77 eV per atom
Space-group type: P4/mmm (123)
E_form (uncorrected): 0.352 eV per atom



# 4
The following is a DFT calculation (PBE) of a relaxed Ba2AsRhN crystal.

```
Ba2AsRhN
1.0
5.940 0.000 0.000
0.000 5.940 0.000
0.000 0.000 3.760
Ba Rh N As
2 1 1 1
Direct
0.000 0.500 0.000
0.500 0.000 0.000
0.000 0.000 0.500
0.000 0.000 0.000
0.500 0.500 0.500
```

Electronic total energy: -5.44 eV per atom
Space-group type: P4/mmm (123)
E_form (uncorrected): -0.606 eV per atom



# 5
The following is a DFT calculation (PBE) of a relaxed Ba2AsRhN crystal.

```
Ba2AsRhN
1.0
5.654 0.000 0.000
0.000 5.654 0.000
0.000 0.000 3.970
N Ba As Rh
1 2 1 1
Direct
0.000 0.000 0.000
0.500 0.000 0.000
0.000 0.500 0.000
0.000 0.000 0.500
0.500 0.500 0.500
```

Electronic total energy: -4.88 eV per atom
Space-group type: P4/mmm (123)
E_form (uncorrected): -0.050 eV per atom



# 6
The following is a DFT calculation (PBE) of a relaxed Ba2As2Rh2N crystal.

```
Ba2As2Rh2N
1.0
-1.641 -0.528 -3.790
1.423 -5.841 -2.089
-5.470 -4.172 0.663
Rh As Ba N
2 2 2 1
Direct
0.819 0.299 0.064
0.181 0.701 0.936
0.808 0.637 0.747
0.192 0.363 0.253
0.557 0.190 0.695
0.443 0.810 0.305
0.000 0.000 0.000
```

Electronic total energy: -5.84 eV per atom
Space-group type: C2/m (12)
E_form (uncorrected): -0.676 eV per atom